Ac2PmDy3Y6: optimized geometry, PBE-GGA.

The volume is 34.1 Å³/atom. For the raw total energy, the calculation gives -5.42 eV per atom. The formation energy comes out at 0.041 eV/atom. For the total magnetization, the calculation gives 0.00 μB/f.u.

abc: 6.336 10.970 11.950
angles: 90.00 100.16 90.00
Space group C2/m (No. 12)
Asymmetric unit:
Ac: 0.000 0.167 0.000 [4 per cell]
Pm: 0.000 0.500 0.000 [2 per cell]
Dy: 0.000 0.000 0.500 [2 per cell]
Dy: 0.000 0.333 0.500 [4 per cell]
Y: 0.245 0.500 0.742 [4 per cell]
Y: 0.248 0.166 0.742 [8 per cell]